1.
Material: Dy3Tm4Cd4
Method: DFT, GGA-PBE
State: optimized geometry

Cell and atoms, written as POSCAR:
```
Dy3Tm4Cd4
1.0
-2.637 3.482 8.429
2.637 -3.482 8.429
2.637 3.482 -8.429
Dy Tm Cd
3 4 4
direct
0.000 0.000 0.000
0.396 0.896 0.500
0.604 0.104 0.500
0.055 0.318 0.738
0.420 0.682 0.738
0.580 0.318 0.262
0.945 0.682 0.262
0.178 0.178 0.000
0.292 0.500 0.792
0.708 0.500 0.208
0.822 0.822 0.000
```

- Formation energy: -0.10 eV/atom
- E_tot: -0.243 Ry/atom
- Space-group type: Immm
- Magnetic moment: 0.00 μB/atom
- DOS(E_F): 0.71 states/eV per atom



2.
Material: DyTm7Cd4
Method: DFT, GGA-PBE
State: optimized geometry

Cell and atoms, written as POSCAR:
```
DyTm7Cd4
1.0
7.260 -2.821 0.000
7.260 2.821 0.000
-5.065 0.000 8.166
Dy Tm Cd
1 7 4
direct
0.000 0.000 0.000
0.073 0.073 0.415
0.207 0.207 0.881
0.260 0.260 0.304
0.500 0.500 0.000
0.740 0.740 0.696
0.793 0.793 0.119
0.927 0.927 0.585
0.319 0.319 0.659
0.458 0.458 0.289
0.542 0.542 0.711
0.681 0.681 0.341
```

- Formation energy: 0.03 eV/atom
- E_tot: -0.240 Ry/atom
- Space-group type: C2/m
- Magnetic moment: 0.00 μB/atom
- DOS(E_F): 1.10 states/eV per atom



3.
Material: Dy2Tm3Cd
Method: DFT, GGA-PBE
State: optimized geometry

Cell and atoms, written as POSCAR:
```
Dy2Tm3Cd
1.0
3.518 0.000 0.000
0.000 3.518 0.000
0.000 0.000 14.063
Dy Tm Cd
2 3 1
direct
0.000 0.000 0.177
0.000 0.000 0.823
0.500 0.500 0.000
0.500 0.500 0.353
0.500 0.500 0.647
0.000 0.000 0.500
```

- Formation energy: -0.09 eV/atom
- E_tot: -0.295 Ry/atom
- Space-group type: P4/mmm
- Magnetic moment: 0.00 μB/atom
- Energy above the most stable polymorph in this dataset: 0.000 eV per atom
- DOS(E_F): 1.31 states/eV per atom



4.
Material: Dy3TmCd2
Method: DFT, GGA-PBE
State: optimized geometry

Cell and atoms, written as POSCAR:
```
Dy3TmCd2
1.0
3.609 0.000 0.000
0.000 3.609 0.000
0.000 0.000 12.874
Dy Tm Cd
3 1 2
direct
0.000 0.000 0.000
0.000 0.000 0.311
0.000 0.000 0.689
0.500 0.500 0.500
0.500 0.500 0.154
0.500 0.500 0.846
```

- Formation energy: -0.19 eV/atom
- E_tot: -0.260 Ry/atom
- Space-group type: P4/mmm
- Magnetic moment: 0.01 μB/atom
- Energy above the most stable polymorph in this dataset: 0.023 eV per atom
- DOS(E_F): 1.29 states/eV per atom